[1]
Material: KLa2Ru2
Method: DFT, PBE
State: relaxed

Summary:
Distance to the lowest polymorph of the same formula (meV per atom): 27
Formation energy from the elements (eV/atom): 0.238

a b c (Å): 8.6288 8.6288 3.4000
angles (deg): 90.00 90.00 90.00
Positions (direct):
Ru 0.1317 0.6317 0.5000
Ru 0.6317 0.8683 0.5000
Ru 0.8683 0.3683 0.5000
Ru 0.3683 0.1317 0.5000
K 0.0000 0.0000 0.0000
K 0.5000 0.5000 0.0000
La 0.3568 0.8568 0.0000
La 0.8568 0.6432 0.0000
La 0.6432 0.1432 0.0000
La 0.1432 0.3568 0.0000


[2]
Material: Rb3VAg2Cl9
Method: DFT, PBE
State: relaxed

a b c (Å): 7.3417 7.3417 9.0061
angles (deg): 90.00 90.00 120.00
Positions (direct):
Rb 0.3333 0.6667 0.6971
Rb 0.0000 0.0000 0.0000
Rb 0.6667 0.3333 0.3029
V 0.0000 0.0000 0.5000
Ag 0.3333 0.6667 0.1659
Ag 0.6667 0.3333 0.8341
Cl 0.8473 0.1527 0.6501
Cl 0.8473 0.6946 0.6501
Cl 0.3054 0.1527 0.6501
Cl 0.6946 0.8473 0.3499
Cl 0.1527 0.3054 0.3499
Cl 0.1527 0.8473 0.3499
Cl 0.5000 0.0000 0.0000
Cl 0.0000 0.5000 0.0000
Cl 0.5000 0.5000 0.0000


[3]
Material: K2Cd2In
Method: DFT, PBE
State: relaxed

Summary:
Distance to the lowest polymorph of the same formula (meV per atom): 0
Formation energy from the elements (eV/atom): -0.100

a b c (Å): 4.8744 6.4608 6.9648
angles (deg): 117.63 110.48 90.00
Positions (direct):
K 0.7995 0.2995 0.5990
K 0.2005 0.7005 0.4010
Cd 0.5000 0.7342 0.0000
Cd 0.5000 0.2658 0.0000
In 0.0000 0.0000 0.0000


no.,total DFT energy (no corrections) (eV per atom),Fermi-level density of states (states/eV/f.u.)
1,-5.66,4.8
2,-3.56,16.4
3,-1.45,3.2